Entry 1:
# MnCr3Hg | the Alexandria database | GGA-PBE | relaxed
# - ΔE to the lowest computed polymorph: 0.0 meV/atom
# - Final energy: -6.565 eV per atom
# - SG: No. 221
# - Calculated formation energy: 1.1034 eV/atom
data_MnCr3Hg
_chemical_formula_sum 'Mn1 Cr3 Hg1'
_cell_length_a 4.2527
_cell_length_b 4.2527
_cell_length_c 4.2527
_cell_angle_alpha 90.00
_cell_angle_beta 90.00
_cell_angle_gamma 90.00
_symmetry_space_group_name_H-M 'P 1'
_symmetry_Int_Tables_number 1
loop_
_symmetry_equiv_pos_as_xyz
'x,y,z'
loop_
_atom_site_label
_atom_site_fract_x
_atom_site_fract_y
_atom_site_fract_z
Mn1 0.0000 0.0000 0.0000
Cr1 0.0000 0.0000 0.5000
Cr2 0.0000 0.5000 0.0000
Cr3 0.5000 0.0000 0.0000
Hg1 0.5000 0.5000 0.5000

=====

Entry 2:
# MnCrHgMo2 | the Alexandria database | GGA-PBE | relaxed
# - Final energy: -5.091 eV per atom
# - SG: No. 123
# - Calculated formation energy: 3.0605 eV/atom
data_MnCrHgMo2
_chemical_formula_sum 'Mn1 Cr1 Hg1 Mo2'
_cell_length_a 4.9183
_cell_length_b 4.9183
_cell_length_c 4.6176
_cell_angle_alpha 90.00
_cell_angle_beta 90.00
_cell_angle_gamma 90.00
_symmetry_space_group_name_H-M 'P 1'
_symmetry_Int_Tables_number 1
loop_
_symmetry_equiv_pos_as_xyz
'x,y,z'
loop_
_atom_site_label
_atom_site_fract_x
_atom_site_fract_y
_atom_site_fract_z
Mn1 0.0000 0.0000 0.0000
Cr1 0.5000 0.5000 0.0000
Hg1 0.5000 0.5000 0.5000
Mo1 0.0000 0.5000 0.5000
Mo2 0.5000 0.0000 0.5000

=====

Entry 3:
# Mn2CrNiHg | the Alexandria database | GGA-PBE | relaxed
# - Final energy: -5.913 eV per atom
# - SG: No. 123
# - Calculated formation energy: 0.8958 eV/atom
data_Mn2CrNiHg
_chemical_formula_sum 'Mn2 Cr1 Ni1 Hg1'
_cell_length_a 4.3258
_cell_length_b 4.3258
_cell_length_c 4.4842
_cell_angle_alpha 90.00
_cell_angle_beta 90.00
_cell_angle_gamma 90.00
_symmetry_space_group_name_H-M 'P 1'
_symmetry_Int_Tables_number 1
loop_
_symmetry_equiv_pos_as_xyz
'x,y,z'
loop_
_atom_site_label
_atom_site_fract_x
_atom_site_fract_y
_atom_site_fract_z
Mn1 0.0000 0.5000 0.0000
Mn2 0.5000 0.0000 0.0000
Cr1 0.0000 0.0000 0.0000
Ni1 0.0000 0.0000 0.5000
Hg1 0.5000 0.5000 0.5000